K3CoAg3F8 | PBE+U | optimized geometry Values from VASP.

Cell and atoms, written as Quantum ESPRESSO input:
```
&SYSTEM
  ibrav = 0, nat = 15, ntyp = 4
/
ATOMIC_SPECIES
K 39.10 K.upf
Co 58.93 Co.upf
Ag 107.87 Ag.upf
F 19.00 F.upf
CELL_PARAMETERS angstrom
6.207 -3.591 0.000
6.207 3.591 0.000
-4.167 0.000 6.054
ATOMIC_POSITIONS angstrom
K 0.000 0.000 0.000
K 3.104 1.795 0.000
K 3.104 -1.795 0.000
Co -2.084 0.000 3.027
Ag 1.020 1.795 3.027
Ag 1.020 -1.795 3.027
Ag 4.124 0.000 3.027
F 3.248 2.101 4.210
F -0.377 0.000 4.213
F 5.000 2.101 1.844
F 2.072 0.000 1.602
F 6.176 0.000 4.452
F 3.248 -2.101 4.210
F 8.625 0.000 1.841
F 5.000 -2.101 1.844
```

Summary:
* space-group type: No. 12
* M_tot: 3.01 μB/cell
* total DFT energy (no corrections): -4.03 eV per atom